A plane-wave DFT calculation with GGA-PBEsol was carried out for a geometry-optimized Fe3SnF structure.

Values from the calculation:
The space group is Pm-3m. Its formation energy (no corrections) is 193 meV per atom. The calculation puts the density of states at the Fermi level at 0.543 states/eV per atom. For the volume, the calculation gives 13.6 Å³/atom.

abc: 4.0810 4.0810 4.0810
angles: 90.00 90.00 90.00
With the nearest neighbours (Å) after each atom.
Fractional positions:
Fe  0.0000  0.0000  0.5000  2 F 2.04
Fe  0.0000  0.5000  0.0000  2 F 2.04
Fe  0.5000  0.0000  0.0000  2 F 2.04
Sn  0.5000  0.5000  0.5000  12 Fe 2.89
F  0.0000  0.0000  0.0000  6 Fe 2.04

***

A plane-wave DFT calculation with GGA-PBEsol was carried out for a geometry-optimized FeSn2F structure.

Values from the calculation:
The space group is Fm-3m. Its formation energy (no corrections) is -329 meV per atom. The calculation puts the density of states at the Fermi level at 1.064 states/eV per atom. For the volume, the calculation gives 16.7 Å³/atom.

abc: 4.5554 4.5554 4.5554
angles: 60.00 60.00 60.00
With the nearest neighbours (Å) after each atom.
Fractional positions:
Fe  0.0000  0.0000  0.0000  8 Sn 2.79
Sn  0.2500  0.2500  0.2500  4 F 2.79, 4 Fe 2.79
Sn  0.7500  0.7500  0.7500  4 F 2.79, 4 Fe 2.79
F  0.5000  0.5000  0.5000  8 Sn 2.79

***

A plane-wave DFT calculation with GGA-PBEsol was carried out for a geometry-optimized FeSnF2 structure.

Values from the calculation:
The space group is R-3m. Its formation energy (no corrections) is -1185 meV per atom. The calculation puts the density of states at the Fermi level at 0.628 states/eV per atom. For the volume, the calculation gives 17.3 Å³/atom.

abc: 8.6348 8.6348 8.6348
angles: 20.51 20.51 20.51
With the nearest neighbours (Å) after each atom.
Fractional positions:
Fe  0.0000  0.0000  0.0000  6 F 2.09
Sn  0.5000  0.5000  0.5000  6 Sn 3.07, 2 F 3.13
F  0.3765  0.3765  0.3765  3 Fe 2.09
F  0.6235  0.6235  0.6235  3 Fe 2.09

***

A plane-wave DFT calculation with GGA-PBEsol was carried out for a geometry-optimized SrFeF2 structure.

Values from the calculation:
The space group is R-3m. Its formation energy (no corrections) is -1398 meV per atom. The calculation puts the density of states at the Fermi level at 1.682 states/eV per atom. For the volume, the calculation gives 17.9 Å³/atom.

abc: 6.3297 6.3297 6.3297
angles: 34.20 34.20 34.20
With the nearest neighbours (Å) after each atom.
Fractional positions:
Sr  0.0000  0.0000  0.0000  2 F 2.33
Fe  0.5000  0.5000  0.5000  6 F 2.24
F  0.1303  0.1303  0.1303  3 Fe 2.24, 1 Sr 2.33, 3 F 2.51
F  0.8697  0.8697  0.8697  3 Fe 2.24, 1 Sr 2.33, 3 F 2.51

***

A plane-wave DFT calculation with GGA-PBEsol was carried out for a geometry-optimized TaFeF2 structure.

Values from the calculation:
The space group is R-3m. Its formation energy (no corrections) is -944 meV per atom. The calculation puts the density of states at the Fermi level at 0.722 states/eV per atom. For the volume, the calculation gives 12.3 Å³/atom.

abc: 7.5398 7.5398 7.5398
angles: 21.21 21.21 21.21
With the nearest neighbours (Å) after each atom.
Fractional positions:
Ta  0.0000  0.0000  0.0000  2 F 2.14
Fe  0.5000  0.5000  0.5000  6 F 2.23
F  0.0968  0.0968  0.0968  1 Ta 2.14, 3 Fe 2.23
F  0.9032  0.9032  0.9032  1 Ta 2.14, 3 Fe 2.23

***

A plane-wave DFT calculation with GGA-PBEsol was carried out for a geometry-optimized TaFeF3 structure.

Values from the calculation:
The space group is Pm-3m. Its formation energy (no corrections) is -873 meV per atom. The calculation puts the density of states at the Fermi level at 0.939 states/eV per atom. For the volume, the calculation gives 14.6 Å³/atom.

abc: 4.1765 4.1765 4.1765
angles: 90.00 90.00 90.00
With the nearest neighbours (Å) after each atom.
Fractional positions:
Ta  0.0000  0.0000  0.0000  6 F 2.09
Fe  0.5000  0.5000  0.5000  12 F 2.95
F  0.0000  0.0000  0.5000  2 Ta 2.09
F  0.0000  0.5000  0.0000  2 Ta 2.09
F  0.5000  0.0000  0.0000  2 Ta 2.09

***

A plane-wave DFT calculation with GGA-PBEsol was carried out for a geometry-optimized Tl2FeWF structure.

Values from the calculation:
The space group is P4/mmm. Its formation energy (no corrections) is 661 meV per atom. The calculation puts the density of states at the Fermi level at 0.813 states/eV per atom. For the volume, the calculation gives 18.6 Å³/atom.

abc: 5.1969 5.1969 3.4523
angles: 90.00 90.00 90.00
With the nearest neighbours (Å) after each atom.
Fractional positions:
Tl  0.0000  0.5000  0.0000  2 Fe 2.60
Tl  0.5000  0.0000  0.0000  2 Fe 2.60
Fe  0.0000  0.0000  0.0000  2 F 1.73
W  0.5000  0.5000  0.5000  8 Tl 3.12, 2 W 3.45
F  0.0000  0.0000  0.5000  2 Fe 1.73

***

A plane-wave DFT calculation with GGA-PBEsol was carried out for a geometry-optimized FeWF2 structure.

Values from the calculation:
The space group is Fm-3m. Its formation energy (no corrections) is 383 meV per atom. The calculation puts the density of states at the Fermi level at 0.939 states/eV per atom. For the volume, the calculation gives 11.5 Å³/atom.

abc: 4.0176 4.0176 4.0176
angles: 60.00 60.00 60.00
With the nearest neighbours (Å) after each atom.
Fractional positions:
Fe  0.0000  0.0000  0.0000  8 F 2.46
W  0.5000  0.5000  0.5000  8 F 2.46
F  0.2500  0.2500  0.2500  4 Fe 2.46, 4 W 2.46
F  0.7500  0.7500  0.7500  4 Fe 2.46, 4 W 2.46

***

A plane-wave DFT calculation with GGA-PBEsol was carried out for a geometry-optimized Fe3WF structure.

Values from the calculation:
The space group is Pm-3m. Its formation energy (no corrections) is 1611 meV per atom. The calculation puts the density of states at the Fermi level at 1.106 states/eV per atom. For the volume, the calculation gives 17.6 Å³/atom.

abc: 4.4474 4.4474 4.4474
angles: 90.00 90.00 90.00
With the nearest neighbours (Å) after each atom.
Fractional positions:
Fe  0.0000  0.0000  0.5000  2 W 2.22
Fe  0.0000  0.5000  0.0000  2 W 2.22
Fe  0.5000  0.0000  0.0000  2 W 2.22
W  0.0000  0.0000  0.0000  6 Fe 2.22
F  0.5000  0.5000  0.5000  12 Fe 3.14

***

A plane-wave DFT calculation with GGA-PBEsol was carried out for a geometry-optimized FeWF2 structure.

Values from the calculation:
The space group is R-3m. Its formation energy (no corrections) is -773 meV per atom. The calculation puts the density of states at the Fermi level at 0.510 states/eV per atom. For the volume, the calculation gives 11.6 Å³/atom.

abc: 7.5651 7.5651 7.5651
angles: 20.47 20.47 20.47
With the nearest neighbours (Å) after each atom.
Fractional positions:
Fe  0.0000  0.0000  0.0000  6 F 2.23
W  0.5000  0.5000  0.5000  2 F 2.10
F  0.4055  0.4055  0.4055  1 W 2.10, 3 Fe 2.23
F  0.5945  0.5945  0.5945  1 W 2.10, 3 Fe 2.23

***

A plane-wave DFT calculation with GGA-PBEsol was carried out for a geometry-optimized FeWF3 structure.

Values from the calculation:
The space group is Pm-3m. Its formation energy (no corrections) is -135 meV per atom. The calculation puts the density of states at the Fermi level at 1.577 states/eV per atom. For the volume, the calculation gives 13.5 Å³/atom.

abc: 4.0764 4.0764 4.0764
angles: 90.00 90.00 90.00
With the nearest neighbours (Å) after each atom.
Fractional positions:
Fe  0.0000  0.0000  0.0000  6 F 2.04
W  0.5000  0.5000  0.5000  12 F 2.88
F  0.0000  0.0000  0.5000  2 Fe 2.04
F  0.0000  0.5000  0.0000  2 Fe 2.04
F  0.5000  0.0000  0.0000  2 Fe 2.04

***

A plane-wave DFT calculation with GGA-PBEsol was carried out for a geometry-optimized Zr3FeF structure.

Values from the calculation:
The space group is Pm-3m. Its formation energy (no corrections) is 133 meV per atom. The calculation puts the density of states at the Fermi level at 0.986 states/eV per atom. For the volume, the calculation gives 21.7 Å³/atom.

abc: 4.7691 4.7691 4.7691
angles: 90.00 90.00 90.00
With the nearest neighbours (Å) after each atom.
Fractional positions:
Zr  0.0000  0.0000  0.5000  2 Fe 2.38
Zr  0.0000  0.5000  0.0000  2 Fe 2.38
Zr  0.5000  0.0000  0.0000  2 Fe 2.38
Fe  0.0000  0.0000  0.0000  6 Zr 2.38
F  0.5000  0.5000  0.5000  12 Zr 3.37

***

A plane-wave DFT calculation with GGA-PBEsol was carried out for a geometry-optimized ZrFeF6 structure.

Values from the calculation:
The space group is Fm-3m. Its formation energy (no corrections) is -3031 meV per atom. The calculation puts the density of states at the Fermi level at 0.818 states/eV per atom. For the volume, the calculation gives 16.5 Å³/atom.

abc: 5.7159 5.7159 5.7159
angles: 60.00 60.00 60.00
With the nearest neighbours (Å) after each atom.
Fractional positions:
Zr  0.0000  0.0000  0.0000  6 F 2.01
Fe  0.5000  0.5000  0.5000  6 F 2.03
F  0.2489  0.2489  0.7511  1 Zr 2.01, 1 Fe 2.03
F  0.2489  0.7511  0.2489  1 Zr 2.01, 1 Fe 2.03
F  0.2489  0.7511  0.7511  1 Zr 2.01, 1 Fe 2.03
F  0.7511  0.2489  0.2489  1 Zr 2.01, 1 Fe 2.03
F  0.7511  0.2489  0.7511  1 Zr 2.01, 1 Fe 2.03
F  0.7511  0.7511  0.2489  1 Zr 2.01, 1 Fe 2.03

***

A plane-wave DFT calculation with GGA-PBEsol was carried out for a geometry-optimized ZrFeF6 structure.

Values from the calculation:
The space group is P-1. Its formation energy (no corrections) is -3030 meV per atom. The calculation puts the density of states at the Fermi level at 0.828 states/eV per atom. For the volume, the calculation gives 16.3 Å³/atom.

abc: 5.6772 5.6797 5.7051
angles: 90.03 119.81 119.98
With the nearest neighbours (Å) after each atom.
Fractional positions:
Zr  0.0000  0.0000  0.0000  6 F 2.01
Fe  0.0000  0.5000  0.5000  6 F 2.03
F  0.0302  0.2478  0.7499  1 Zr 2.01, 1 Fe 2.03
F  0.0319  0.2813  0.2487  1 Zr 2.01, 1 Fe 2.03
F  0.4980  0.2179  0.2480  1 Zr 2.01, 1 Fe 2.03
F  0.5020  0.7821  0.7520  1 Zr 2.01, 1 Fe 2.03
F  0.9681  0.7187  0.7513  1 Zr 2.01, 1 Fe 2.03
F  0.9698  0.7522  0.2501  1 Zr 2.01, 1 Fe 2.03